Record 1
Material: Ca2PaNbN4
Method: DFT, PBE-GGA
State: optimized geometry

Properties
uncorrected formation energy	-1.291	eV/atom
size of the total moment	0.00	μB per cell
electronic total energy	-8.40	eV per atom

a = 5.8217 Å, b = 3.3965 Å, c = 5.9411 Å
α = 90.00°, β = 108.59°, γ = 90.00°
Closest atoms and distances in Å follow each position.
Sites, in units of the cell vectors:
Ca 0.0000 0.0000 0.0000  6 N 2.55-2.56
Ca 0.5000 0.5000 0.0000  6 N 2.49-2.50
Pa 0.0000 0.5000 0.5000  6 N 2.30-2.34
Nb 0.5000 0.0000 0.5000  6 N 2.23-2.29
N 0.2505 0.0000 0.7166  1 Nb 2.23, 2 Pa 2.34
N 0.2668 0.5000 0.2858  2 Nb 2.29, 1 Pa 2.30, 3 Ca 2.49-2.55
N 0.7332 0.5000 0.7142  2 Nb 2.29, 1 Pa 2.30, 3 Ca 2.49-2.55
N 0.7495 0.0000 0.2834  1 Nb 2.23, 2 Pa 2.34

Record 2
Material: Ca4Pa3NbN8
Method: DFT, PBE-GGA
State: optimized geometry

Properties
uncorrected formation energy	-1.373	eV/atom
size of the total moment	0.00	μB per cell
electronic total energy	-8.45	eV per atom

a = 6.9438 Å, b = 6.9438 Å, c = 6.9438 Å
α = 59.85°, β = 59.85°, γ = 59.85°
Closest atoms and distances in Å follow each position.
Sites, in units of the cell vectors:
Ca 0.0000 0.0000 0.0000  6 N 2.59
Ca 0.0000 0.5000 0.5000  6 N 2.56-2.57
Ca 0.5000 0.0000 0.5000  6 N 2.56-2.57
Ca 0.5000 0.5000 0.0000  6 N 2.56-2.57
Pa 0.0000 0.0000 0.5000  6 N 2.35-2.36
Pa 0.0000 0.5000 0.0000  6 N 2.35-2.36
Pa 0.5000 0.0000 0.0000  6 N 2.35-2.36
Nb 0.5000 0.5000 0.5000  6 N 2.33
N 0.2397 0.2397 0.2397  3 Pa 2.36, 3 Ca 2.56
N 0.2411 0.7369 0.7369  1 Nb 2.33, 2 Pa 2.35, 3 Ca 2.57-2.59
N 0.2631 0.2631 0.7589  1 Nb 2.33, 2 Pa 2.35, 3 Ca 2.57-2.59
N 0.2631 0.7589 0.2631  1 Nb 2.33, 2 Pa 2.35, 3 Ca 2.57-2.59
N 0.7369 0.2411 0.7369  1 Nb 2.33, 2 Pa 2.35, 3 Ca 2.57-2.59
N 0.7369 0.7369 0.2411  1 Nb 2.33, 2 Pa 2.35, 3 Ca 2.57-2.59
N 0.7589 0.2631 0.2631  1 Nb 2.33, 2 Pa 2.35, 3 Ca 2.57-2.59
N 0.7603 0.7603 0.7603  3 Pa 2.36, 3 Ca 2.56

Record 3
Material: Ca3Pa3NbN8
Method: DFT, PBE-GGA
State: optimized geometry

Properties
uncorrected formation energy	-1.344	eV/atom
size of the total moment	0.00	μB per cell
electronic total energy	-8.75	eV per atom

a = 6.9448 Å, b = 6.9448 Å, c = 6.9448 Å
α = 59.67°, β = 59.67°, γ = 59.67°
Closest atoms and distances in Å follow each position.
Sites, in units of the cell vectors:
Ca 0.0000 0.5000 0.5000  6 N 2.52-2.62
Ca 0.5000 0.0000 0.5000  6 N 2.52-2.62
Ca 0.5000 0.5000 0.0000  6 N 2.52-2.62
Pa 0.0000 0.0000 0.5000  6 N 2.32-2.38
Pa 0.0000 0.5000 0.0000  6 N 2.32-2.38
Pa 0.5000 0.0000 0.0000  6 N 2.32-2.38
Nb 0.5000 0.5000 0.5000  6 N 2.20
N 0.2432 0.2432 0.2432  3 Pa 2.38, 3 Ca 2.52
N 0.2462 0.7234 0.7234  1 Nb 2.20, 2 Pa 2.32
N 0.2766 0.2766 0.7538  1 Nb 2.20, 2 Pa 2.32
N 0.2766 0.7538 0.2766  1 Nb 2.20, 2 Pa 2.32
N 0.7234 0.2462 0.7234  1 Nb 2.20, 2 Pa 2.32
N 0.7234 0.7234 0.2462  1 Nb 2.20, 2 Pa 2.32
N 0.7538 0.2766 0.2766  1 Nb 2.20, 2 Pa 2.32
N 0.7568 0.7568 0.7568  3 Pa 2.38, 3 Ca 2.52

Record 4
Material: CaPaNbN4
Method: DFT, PBE-GGA
State: optimized geometry

Properties
uncorrected formation energy	-1.064	eV/atom
size of the total moment	0.00	μB per cell
electronic total energy	-8.90	eV per atom

a = 6.7759 Å, b = 6.7759 Å, c = 5.6596 Å
α = 90.00°, β = 90.00°, γ = 129.75°
Closest atoms and distances in Å follow each position.
Sites, in units of the cell vectors:
Ca 0.1070 0.8930 0.7500  1 N 2.25
Ca 0.8930 0.1070 0.2500  1 N 2.25
Pa 0.3887 0.6113 0.7500  1 N 2.02
Pa 0.6113 0.3887 0.2500  1 N 2.02
Nb 0.2302 0.7698 0.2500  5 N 1.89-2.03
Nb 0.7698 0.2302 0.7500  5 N 1.89-2.03
N 0.0000 0.5000 0.0000  2 Nb 2.03
N 0.0000 0.5000 0.5000  2 Nb 2.03
N 0.0760 0.9240 0.2500  1 Nb 1.89
N 0.4468 0.5532 0.2500  1 Pa 2.02
N 0.5000 0.0000 0.0000  2 Nb 2.03
N 0.5000 0.0000 0.5000  2 Nb 2.03
N 0.5532 0.4468 0.7500  1 Pa 2.02
N 0.9240 0.0760 0.7500  1 Nb 1.89

Record 5
Material: CaNbPb2N
Method: DFT, PBE-GGA
State: optimized geometry

Properties
uncorrected formation energy	0.123	eV/atom
size of the total moment	1.41	μB per cell
electronic total energy	-5.44	eV per atom

a = 5.3692 Å, b = 5.3692 Å, c = 4.1323 Å
α = 90.00°, β = 90.00°, γ = 90.00°
Closest atoms and distances in Å follow each position.
Sites, in units of the cell vectors:
Ca 0.0000 0.0000 0.0000  8 Pb 3.39
Nb 0.5000 0.5000 0.0000  2 N 2.07
Pb 0.0000 0.5000 0.5000  2 N 2.68
Pb 0.5000 0.0000 0.5000  2 N 2.68
N 0.5000 0.5000 0.5000  2 Nb 2.07

Record 6
Material: Ca2PmNbN4
Method: DFT, PBE-GGA
State: optimized geometry

Properties
uncorrected formation energy	-1.129	eV/atom
size of the total moment	0.00	μB per cell
electronic total energy	-7.64	eV per atom

a = 6.8500 Å, b = 6.8500 Å, c = 6.8500 Å
α = 121.09°, β = 119.33°, γ = 89.64°
Closest atoms and distances in Å follow each position.
Sites, in units of the cell vectors:
Ca 0.0000 0.0000 0.0000  6 N 2.44
Ca 0.5000 0.0000 0.0000  6 N 2.58-2.72
Ca 0.5000 0.0000 0.5000  6 N 2.44
Ca 0.5000 0.5000 0.5000  6 N 2.58-2.72
Pm 0.0000 0.5000 0.5000  6 N 2.42-2.44
Pm 0.5000 0.5000 0.0000  6 N 2.42-2.44
Nb 0.0000 0.0000 0.5000  6 N 2.14-2.26
Nb 0.0000 0.5000 0.0000  6 N 2.14-2.26
N 0.2184 0.2500 0.9684  2 Nb 2.26, 1 Pm 2.44, 1 Ca 2.44
N 0.2184 0.7500 0.4684  2 Nb 2.26, 1 Pm 2.44, 1 Ca 2.44
N 0.2204 0.2228 0.5025  1 Nb 2.14
N 0.2204 0.7179 0.9975  1 Nb 2.14
N 0.7796 0.2821 0.0025  1 Nb 2.14
N 0.7796 0.7772 0.4975  1 Nb 2.14
N 0.7816 0.2500 0.5316  2 Nb 2.26, 1 Pm 2.44, 1 Ca 2.44
N 0.7816 0.7500 0.0316  2 Nb 2.26, 1 Pm 2.44, 1 Ca 2.44

Record 7
Material: CaPm2NbN4
Method: DFT, PBE-GGA
State: optimized geometry

Properties
uncorrected formation energy	-1.092	eV/atom
size of the total moment	0.00	μB per cell
electronic total energy	-7.95	eV per atom

a = 6.3339 Å, b = 6.3339 Å, c = 12.5653 Å
α = 90.00°, β = 90.00°, γ = 148.01°
Closest atoms and distances in Å follow each position.
Sites, in units of the cell vectors:
Ca 0.1069 0.8931 0.7500  6 N 2.76-2.82
Ca 0.8931 0.1069 0.2500  6 N 2.76-2.82
Pm 0.3698 0.6302 0.5328  5 N 2.39-2.65
Pm 0.3698 0.6302 0.9672  5 N 2.39-2.65
Pm 0.6302 0.3698 0.0328  5 N 2.39-2.65
Pm 0.6302 0.3698 0.4672  5 N 2.39-2.65
Nb 0.1620 0.8380 0.2500  4 N 1.94-2.08
Nb 0.8380 0.1620 0.7500  4 N 1.94-2.08
N 0.0000 0.0000 0.0000  4 Pm 2.39
N 0.0000 0.0000 0.5000  4 Pm 2.39
N 0.2611 0.7389 0.1290  1 Nb 1.94
N 0.2611 0.7389 0.3710  1 Nb 1.94
N 0.4310 0.5690 0.7500  2 Nb 2.08
N 0.5690 0.4310 0.2500  2 Nb 2.08
N 0.7389 0.2611 0.6290  1 Nb 1.94
N 0.7389 0.2611 0.8710  1 Nb 1.94

Record 8
Material: CaPr2NbN4
Method: DFT, PBE-GGA
State: optimized geometry

Properties
uncorrected formation energy	-1.020	eV/atom
size of the total moment	0.00	μB per cell
electronic total energy	-7.89	eV per atom

a = 6.3906 Å, b = 6.3906 Å, c = 12.8114 Å
α = 90.00°, β = 90.00°, γ = 147.99°
Closest atoms and distances in Å follow each position.
Sites, in units of the cell vectors:
Ca 0.1091 0.8909 0.7500  6 N 2.79-2.85
Ca 0.8909 0.1091 0.2500  6 N 2.79-2.85
Pr 0.3688 0.6312 0.5323  3 N 2.42-2.49
Pr 0.3688 0.6312 0.9677  3 N 2.42-2.49
Pr 0.6312 0.3688 0.0323  3 N 2.42-2.49
Pr 0.6312 0.3688 0.4677  3 N 2.42-2.49
Nb 0.1634 0.8366 0.2500  4 N 1.93-2.08
Nb 0.8366 0.1634 0.7500  4 N 1.93-2.08
N 0.0000 0.0000 0.0000  4 Pr 2.42
N 0.0000 0.0000 0.5000  4 Pr 2.42
N 0.2633 0.7367 0.1334  1 Nb 1.93
N 0.2633 0.7367 0.3666  1 Nb 1.93
N 0.4270 0.5730 0.7500  2 Nb 2.08
N 0.5730 0.4270 0.2500  2 Nb 2.08
N 0.7367 0.2633 0.6334  1 Nb 1.93
N 0.7367 0.2633 0.8666  1 Nb 1.93